# SbIr2Os PBE relaxed
# Energy in eV/cell: -60.6
data_SbIr2Os
_symmetry_space_group_name_H-M 'C m m m'
_symmetry_Int_Tables_number 65
_symmetry_space_group_name_Hall '-C 2 2'
_cell_length_a 2.824
_cell_length_b 4.967
_cell_length_c 9.620
_cell_angle_alpha 90.00
_cell_angle_beta 90.00
_cell_angle_gamma 90.00
loop_
_atom_site_label
_atom_site_fract_x
_atom_site_fract_y
_atom_site_fract_z
Sb1 0.000 0.000 0.000
Ir1 0.000 0.500 0.266
Os1 0.000 0.000 0.500

---

# SbIr2Os PBE relaxed
# Energy in eV/cell: -63.4
data_SbIr2Os
_symmetry_space_group_name_H-M 'C 1 2/m 1'
_symmetry_Int_Tables_number 12
_cell_length_a 9.145
_cell_length_b 2.943
_cell_length_c 4.848
_cell_angle_alpha 90.00
_cell_angle_beta 99.71
_cell_angle_gamma 90.00
loop_
_symmetry_equiv_pos_as_xyz
'x,y,z'
'-x,-y,-z'
'-x,y,-z'
'x,-y,z'
'x+1/2,y+1/2,z'
'-x+1/2,-y+1/2,-z'
'-x+1/2,y+1/2,-z'
'x+1/2,-y+1/2,z'
loop_
_atom_site_label
_atom_site_fract_x
_atom_site_fract_y
_atom_site_fract_z
Sb1 0.000 0.000 0.000
Ir1 0.244 0.000 0.730
Os1 0.000 0.500 0.500

---

# Sb6IrOs PBE relaxed
# Energy in eV/cell: -184.1
data_Sb6IrOs
_symmetry_space_group_name_H-M 'C 1 2/m 1'
_symmetry_Int_Tables_number 12
_cell_length_a 13.257
_cell_length_b 9.404
_cell_length_c 9.393
_cell_angle_alpha 90.00
_cell_angle_beta 134.80
_cell_angle_gamma 90.00
loop_
_symmetry_equiv_pos_as_xyz
'x,y,z'
'-x,-y,-z'
'-x,y,-z'
'x,-y,z'
'x+1/2,y+1/2,z'
'-x+1/2,-y+1/2,-z'
'-x+1/2,y+1/2,-z'
'x+1/2,-y+1/2,z'
loop_
_atom_site_label
_atom_site_fract_x
_atom_site_fract_y
_atom_site_fract_z
Sb1 0.002 0.155 0.162
Sb2 0.155 0.339 0.654
Sb3 0.158 0.500 0.004
Sb4 0.163 0.500 0.318
Ir1 0.250 0.250 0.000
Os1 0.250 0.250 0.500

---

# SbIr2Os PBE relaxed
# Energy in eV/cell: -59.9
data_SbIr2Os
_symmetry_space_group_name_H-M 'C m m 2'
_symmetry_Int_Tables_number 35
_cell_length_a 2.817
_cell_length_b 4.977
_cell_length_c 9.580
_cell_angle_alpha 90.00
_cell_angle_beta 90.00
_cell_angle_gamma 90.00
loop_
_symmetry_equiv_pos_as_xyz
'x,y,z'
'-x,-y,z'
'-x,y,z'
'x,-y,z'
'x+1/2,y+1/2,z'
'-x+1/2,-y+1/2,z'
'-x+1/2,y+1/2,z'
'x+1/2,-y+1/2,z'
loop_
_atom_site_label
_atom_site_fract_x
_atom_site_fract_y
_atom_site_fract_z
Sb1 0.000 0.000 0.000
Ir1 0.000 0.000 0.500
Ir2 0.000 0.500 0.742
Os1 0.000 0.500 0.268

---

# SbIr3Os PBE relaxed
# Energy in eV/cell: -34.2
data_SbIr3Os
_symmetry_space_group_name_H-M 'P m -3 m'
_symmetry_Int_Tables_number 221
_symmetry_space_group_name_Hall '-P 4 2 3'
_cell_length_a 4.766
_cell_length_b 4.766
_cell_length_c 4.766
_cell_angle_alpha 90.00
_cell_angle_beta 90.00
_cell_angle_gamma 90.00
loop_
_atom_site_label
_atom_site_fract_x
_atom_site_fract_y
_atom_site_fract_z
Sb1 0.000 0.000 0.000
Ir1 0.000 0.500 0.500
Os1 0.500 0.500 0.500

---

# ScSbIr2Os PBE relaxed
# Energy in eV/cell: -33.3
data_ScSbIr2Os
_symmetry_space_group_name_H-M 'P 4/m m m'
_symmetry_Int_Tables_number 123
_symmetry_space_group_name_Hall '-P 4 2'
_cell_length_a 4.803
_cell_length_b 4.803
_cell_length_c 4.805
_cell_angle_alpha 90.00
_cell_angle_beta 90.00
_cell_angle_gamma 90.00
loop_
_atom_site_label
_atom_site_fract_x
_atom_site_fract_y
_atom_site_fract_z
Sc1 0.000 0.000 0.000
Sb1 0.500 0.500 0.500
Ir1 0.000 0.500 0.500
Os1 0.500 0.500 0.000

---

# SbTe2IrOs PBE relaxed
# Energy in eV/cell: -23.8
data_SbTe2IrOs
_symmetry_space_group_name_H-M 'P 4/m m m'
_symmetry_Int_Tables_number 123
_symmetry_space_group_name_Hall '-P 4 2'
_cell_length_a 5.127
_cell_length_b 5.127
_cell_length_c 4.991
_cell_angle_alpha 90.00
_cell_angle_beta 90.00
_cell_angle_gamma 90.00
loop_
_atom_site_label
_atom_site_fract_x
_atom_site_fract_y
_atom_site_fract_z
Sb1 0.000 0.000 0.000
Te1 0.000 0.500 0.500
Ir1 0.500 0.500 0.000
Os1 0.000 0.000 0.500

---

# SbTe2IrOs PBE relaxed
# Energy in eV/cell: -25.5
data_SbTe2IrOs
_symmetry_space_group_name_H-M 'P 4/m m m'
_symmetry_Int_Tables_number 123
_symmetry_space_group_name_Hall '-P 4 2'
_cell_length_a 5.238
_cell_length_b 5.238
_cell_length_c 4.777
_cell_angle_alpha 90.00
_cell_angle_beta 90.00
_cell_angle_gamma 90.00
loop_
_atom_site_label
_atom_site_fract_x
_atom_site_fract_y
_atom_site_fract_z
Sb1 0.000 0.000 0.000
Te1 0.000 0.500 0.500
Ir1 0.500 0.500 0.000
Os1 0.500 0.500 0.500

---

# TiSbIrOs2 PBE relaxed
# Energy in eV/cell: -34.9
data_TiSbIrOs2
_symmetry_space_group_name_H-M 'P 4/m m m'
_symmetry_Int_Tables_number 123
_symmetry_space_group_name_Hall '-P 4 2'
_cell_length_a 4.709
_cell_length_b 4.709
_cell_length_c 5.033
_cell_angle_alpha 90.00
_cell_angle_beta 90.00
_cell_angle_gamma 90.00
loop_
_atom_site_label
_atom_site_fract_x
_atom_site_fract_y
_atom_site_fract_z
Ti1 0.000 0.000 0.000
Sb1 0.500 0.500 0.000
Ir1 0.500 0.500 0.500
Os1 0.000 0.500 0.500

---

# V2SbIrOs PBE relaxed
# Energy in eV/cell: -32.1
data_V2SbIrOs
_symmetry_space_group_name_H-M 'P 4/m m m'
_symmetry_Int_Tables_number 123
_symmetry_space_group_name_Hall '-P 4 2'
_cell_length_a 4.725
_cell_length_b 4.725
_cell_length_c 4.743
_cell_angle_alpha 90.00
_cell_angle_beta 90.00
_cell_angle_gamma 90.00
loop_
_atom_site_label
_atom_site_fract_x
_atom_site_fract_y
_atom_site_fract_z
V1 0.000 0.500 0.000
Sb1 0.000 0.000 0.000
Ir1 0.500 0.500 0.500
Os1 0.000 0.000 0.500

---

# YSb2IrOs PBE relaxed
# Energy in eV/cell: -30.6
data_YSb2IrOs
_symmetry_space_group_name_H-M 'P 4/m m m'
_symmetry_Int_Tables_number 123
_symmetry_space_group_name_Hall '-P 4 2'
_cell_length_a 4.985
_cell_length_b 4.985
_cell_length_c 5.214
_cell_angle_alpha 90.00
_cell_angle_beta 90.00
_cell_angle_gamma 90.00
loop_
_atom_site_label
_atom_site_fract_x
_atom_site_fract_y
_atom_site_fract_z
Y1 0.000 0.000 0.000
Sb1 0.000 0.500 0.500
Ir1 0.000 0.000 0.500
Os1 0.500 0.500 0.000

---

# YSb2IrOs PBE relaxed
# Energy in eV/cell: -32.3
data_YSb2IrOs
_symmetry_space_group_name_H-M 'P 4/m m m'
_symmetry_Int_Tables_number 123
_symmetry_space_group_name_Hall '-P 4 2'
_cell_length_a 5.127
_cell_length_b 5.127
_cell_length_c 4.840
_cell_angle_alpha 90.00
_cell_angle_beta 90.00
_cell_angle_gamma 90.00
loop_
_atom_site_label
_atom_site_fract_x
_atom_site_fract_y
_atom_site_fract_z
Y1 0.000 0.000 0.000
Sb1 0.000 0.500 0.500
Ir1 0.500 0.500 0.000
Os1 0.500 0.500 0.500